The following is a GGA-PBE calculation of an optimized crystal structure of Tl2In7Sn, from Alexandria.

Structure (POSCAR):
```
Tl2In7Sn
1.0
5.124 -9.423 0.000
5.124 9.423 0.000
0.000 0.000 3.230
Tl In Sn
2 7 1
direct
0.196 0.804 0.000
0.804 0.196 0.000
0.149 0.331 0.000
0.331 0.149 0.000
0.348 0.652 0.500
0.500 0.500 0.000
0.652 0.348 0.500
0.669 0.851 0.000
0.851 0.669 0.000
0.000 0.000 0.500
```

DFT formation energy = 0.092 eV per atom
E = -27.0 eV per cell

---

The following is a GGA-PBE calculation of an optimized crystal structure of TlIn3Sn3, from Alexandria.

Structure (POSCAR):
```
TlIn3Sn3
1.0
9.032 0.000 0.000
-4.516 7.822 0.000
0.000 0.000 5.554
Tl In Sn
2 6 6
direct
0.333 0.667 0.250
0.667 0.333 0.750
0.093 0.472 0.750
0.379 0.907 0.750
0.472 0.379 0.250
0.528 0.621 0.750
0.621 0.093 0.250
0.907 0.528 0.250
0.040 0.231 0.250
0.191 0.960 0.250
0.231 0.191 0.750
0.769 0.809 0.250
0.809 0.040 0.750
0.960 0.769 0.750
```

DFT formation energy = 0.041 eV per atom
E = -44.6 eV per cell
relative energy among the computed polymorphs = 0.0000 eV/atom

---

The following is a GGA-PBE calculation of an optimized crystal structure of Tl3In4Sn, from Alexandria.

Structure (POSCAR):
```
Tl3In4Sn
1.0
4.348 -6.276 0.000
4.348 6.276 0.000
0.000 0.000 4.548
Tl In Sn
3 4 1
direct
0.000 0.000 0.000
0.000 0.500 0.500
0.500 0.000 0.500
0.260 0.740 0.000
0.268 0.268 0.500
0.732 0.732 0.500
0.740 0.260 0.000
0.500 0.500 0.000
```

DFT formation energy = 0.119 eV per atom
E = -21.1 eV per cell
relative energy among the computed polymorphs = 0.0960 eV/atom

---

The following is a GGA-PBE calculation of an optimized crystal structure of Tl6In16Sn7, from Alexandria.

Structure (POSCAR):
```
Tl6In16Sn7
1.0
0.000 7.588 7.588
7.588 0.000 7.588
7.588 7.588 0.000
Tl In Sn
6 16 7
direct
0.216 0.216 0.784
0.216 0.784 0.216
0.216 0.784 0.784
0.784 0.216 0.216
0.784 0.216 0.784
0.784 0.784 0.216
0.142 0.619 0.619
0.167 0.167 0.167
0.167 0.167 0.498
0.167 0.498 0.167
0.381 0.381 0.381
0.381 0.381 0.858
0.381 0.858 0.381
0.498 0.167 0.167
0.502 0.833 0.833
0.619 0.142 0.619
0.619 0.619 0.142
0.619 0.619 0.619
0.833 0.502 0.833
0.833 0.833 0.502
0.833 0.833 0.833
0.858 0.381 0.381
0.000 0.000 0.500
0.000 0.500 0.000
0.000 0.500 0.500
0.500 0.000 0.000
0.500 0.000 0.500
0.500 0.500 0.000
0.500 0.500 0.500
```

DFT formation energy = 0.032 eV per atom
E = -85.1 eV per cell

---

The following is a GGA-PBE calculation of an optimized crystal structure of TlIn5Sn6, from Alexandria.

Structure (POSCAR):
```
TlIn5Sn6
1.0
5.653 -6.982 0.000
5.653 6.982 0.000
-1.739 0.000 4.232
Tl In Sn
1 5 6
direct
0.000 0.000 0.000
0.171 0.829 0.500
0.334 0.666 0.000
0.500 0.500 0.500
0.666 0.334 0.000
0.829 0.171 0.500
0.085 0.420 0.252
0.256 0.256 0.754
0.420 0.085 0.252
0.580 0.915 0.748
0.744 0.744 0.246
0.915 0.580 0.748
```

DFT formation energy = 0.035 eV per atom
E = -39.7 eV per cell

---

The following is a GGA-PBE calculation of an optimized crystal structure of Tl2In7Sn2, from Alexandria.

Structure (POSCAR):
```
Tl2In7Sn2
1.0
4.536 -5.585 0.000
4.536 5.585 0.000
-2.071 0.000 6.273
Tl In Sn
2 7 2
direct
0.093 0.093 0.301
0.907 0.907 0.699
0.070 0.592 0.331
0.304 0.304 0.959
0.408 0.930 0.669
0.500 0.500 0.500
0.592 0.070 0.331
0.696 0.696 0.041
0.930 0.408 0.669
0.260 0.740 0.000
0.740 0.260 0.000
```

DFT formation energy = 0.050 eV per atom
E = -31.4 eV per cell

---

The following is a GGA-PBE calculation of an optimized crystal structure of Tl2In3Sn6, from Alexandria.

Structure (POSCAR):
```
Tl2In3Sn6
1.0
8.911 0.000 0.000
-4.455 7.717 0.000
0.000 0.000 4.987
Tl In Sn
2 3 6
direct
0.333 0.667 0.000
0.667 0.333 0.000
0.000 0.432 0.500
0.432 0.000 0.500
0.568 0.568 0.500
0.000 0.216 0.000
0.000 0.766 0.500
0.216 0.000 0.000
0.234 0.234 0.500
0.766 0.000 0.500
0.784 0.784 0.000
```

DFT formation energy = 0.096 eV per atom
E = -35.9 eV per cell

---

The following is a GGA-PBE calculation of an optimized crystal structure of TlInSn5, from Alexandria.

Structure (POSCAR):
```
TlInSn5
1.0
4.588 0.000 0.000
0.000 4.588 0.000
0.000 0.000 9.924
Tl In Sn
1 1 5
direct
0.000 0.000 0.000
0.500 0.500 0.500
0.000 0.000 0.500
0.000 0.500 0.241
0.000 0.500 0.759
0.500 0.000 0.241
0.500 0.000 0.759
```

DFT formation energy = 0.093 eV per atom
E = -24.5 eV per cell